Entry 1:
Na2Pd | PBE | relaxed

POSCAR file:
```
Na2Pd
1.0
-1.747 1.819 2.058
-2.684 -0.610 -1.739
0.994 -6.091 3.652
Na Pd
2 1
Cartesian
-0.898 -4.032 2.801
-2.539 -0.849 1.170
0.000 0.000 0.000
```

Results
DFT formation energy, meV/atom: -17.9
Total DFT energy (no corrections), eV per atom: -2.628


Entry 2:
PrSmScAl | PBE | relaxed

POSCAR file:
```
PrSmScAl
1.0
5.355 0.000 0.000
2.677 4.637 0.000
2.677 1.546 4.372
Sc Sm Al Pr
1 1 1 1
Cartesian
0.000 0.000 0.000
8.032 4.637 3.279
5.355 3.092 2.186
2.677 1.546 1.093
```

Results
DFT formation energy, meV/atom: -89.1
Total DFT energy (no corrections), eV per atom: -4.982


Entry 3:
PuBrCl2 | PBE | relaxed

POSCAR file:
```
PuBrCl2
1.0
-3.935 0.057 0.544
1.710 -6.896 -1.431
1.152 -1.474 8.480
Cl Pu Br
4 2 2
Cartesian
-1.558 -2.874 3.530
0.485 -5.440 4.064
0.898 -5.968 7.105
-1.971 -2.345 0.489
0.152 -3.986 1.510
-1.225 -4.327 6.084
0.820 -2.301 6.159
-1.893 -6.013 1.435
```

Results
Total DFT energy (no corrections), eV per atom: -6.683
Polymorph energy (0 for the lowest one), meV per atom: 20


Entry 4:
DyThCoCu | PBE | relaxed

POSCAR file:
```
DyThCoCu
1.0
4.903 0.000 0.000
2.452 4.246 0.000
2.452 1.415 4.003
Cu Co Dy Th
1 1 1 1
Cartesian
7.355 4.246 3.003
2.452 1.415 1.001
0.000 0.000 0.000
4.903 2.831 2.002
```

Results
DFT formation energy, meV/atom: -148.5
Total DFT energy (no corrections), eV per atom: -5.954
Polymorph energy (0 for the lowest one), meV per atom: 137


Entry 5:
TiCd2Sn | PBE | relaxed

POSCAR file:
```
TiCd2Sn
1.0
-4.104 0.425 -1.955
-1.855 -0.669 3.748
0.062 4.164 0.774
Cd Ti Sn
2 1 1
Cartesian
-0.927 -0.335 1.874
0.031 2.082 0.387
-2.949 1.960 1.284
-2.052 0.212 -0.978
```

Results
DFT formation energy, meV/atom: -56.1
Total DFT energy (no corrections), eV per atom: -3.488


Entry 6:
Sc5SnGe6 | PBE | relaxed

POSCAR file:
```
Sc5SnGe6
1.0
5.266 0.214 -1.077
-2.659 5.914 -2.196
-0.181 -0.249 7.816
Sn Ge Sc
1 6 5
Cartesian
0.000 0.000 0.000
-1.210 5.204 0.697
3.050 3.075 2.854
1.538 1.946 -1.169
0.888 3.932 5.712
3.636 0.675 3.846
-0.624 2.803 1.689
-0.483 5.087 3.572
1.716 4.106 0.651
2.910 0.792 0.971
-1.330 2.957 -1.098
0.711 1.772 3.892
```

Results
DFT formation energy, meV/atom: -566.8
Total DFT energy (no corrections), eV per atom: -5.847


Calculated magnetic moment (μB/cell), listed in the same order as above: 0.0 0.7 10.0 0.0 0.0 0.0